# Rb2BaSr2, relaxed, DFT PBE
# * electronic total energy: -5.7 eV per cell
data_Rb2BaSr2
_cell_length_a 5.842
_cell_length_b 5.842
_cell_length_c 11.322
_cell_angle_alpha 75.05
_cell_angle_beta 75.05
_cell_angle_gamma 90.00
_space_group_name_H-M_alt 'P 1'
_space_group_IT_number 1
_space_group_name_Hall 'P 1'
loop_
_atom_site_label
_atom_site_fract_x
_atom_site_fract_y
_atom_site_fract_z
_atom_site_occupancy
Sr1 0.750 0.250 0.500 1
Sr2 0.250 0.750 0.500 1
Ba1 0.000 0.000 0.000 1
Rb1 0.403 0.403 0.194 1
Rb2 0.597 0.597 0.806 1